The following is a DFT calculation (GGA-PBE) of crystalline Mg2NiP at its relaxed geometry.

Cell lengths 3.100, 3.100, 6.876 Å; angles 90.00, 90.00, 89.98 degrees
Element x y z (fractional)
Mg: 0.000 0.000 0.958
Mg: 0.500 0.500 0.292
Ni: 0.000 0.000 0.562
P: 0.500 0.500 0.688

Results
ΔE_f	-0.190	eV/atom
total magnetic moment	0.0	μB per cell
N(E_F)	3.13	states/eV per cell


The following is a DFT calculation (GGA-PBE) of crystalline Mg2NiP at its relaxed geometry.

Cell lengths 4.790, 4.790, 4.790 Å; angles 131.68, 131.74, 70.68 degrees
Element x y z (fractional)
Mg: 0.000 0.000 0.000
Mg: 0.500 0.500 0.000
Ni: 0.750 0.250 0.500
P: 0.250 0.750 0.500

Results
ΔE_f	-0.142	eV/atom
total magnetic moment	0.0	μB per cell
N(E_F)	1.55	states/eV per cell


The following is a DFT calculation (GGA-PBE) of crystalline MgNiP2 at its relaxed geometry.

Cell lengths 5.992, 5.992, 5.992 Å; angles 34.59, 34.59, 34.59 degrees
Element x y z (fractional)
Mg: 0.250 0.250 0.250
Ni: 0.750 0.750 0.750
P: 0.022 0.022 0.022
P: 0.478 0.478 0.478

Results
ΔE_f	-0.294	eV/atom
total magnetic moment	0.0	μB per cell
N(E_F)	1.93	states/eV per cell